Below is an optimized crystal structure of Na3VBPO7, with properties calculated at the PBE with a Hubbard U level.

## Properties
The calculation puts the raw total energy at -6.68 eV/atom. For the density of states at the Fermi level, the calculation gives 0.00 states/eV per cell. Its space group is No. 11.

a b c (Å): 5.328 6.596 9.005
angles (deg): 90.00 91.65 90.00
Positions (direct):
Na 0.238 0.250 0.075
Na 0.250 0.503 0.749
Na 0.250 0.997 0.749
Na 0.750 0.003 0.251
Na 0.750 0.497 0.251
Na 0.762 0.750 0.925
V 0.219 0.750 0.335
V 0.781 0.250 0.665
B 0.272 0.750 0.066
B 0.728 0.250 0.934
P 0.279 0.250 0.422
P 0.721 0.750 0.578
O 0.036 0.750 0.130
O 0.127 0.250 0.566
O 0.206 0.063 0.324
O 0.206 0.437 0.324
O 0.317 0.750 0.920
O 0.435 0.750 0.541
O 0.468 0.750 0.178
O 0.532 0.250 0.822
O 0.565 0.250 0.459
O 0.683 0.250 0.080
O 0.794 0.563 0.676
O 0.794 0.937 0.676
O 0.873 0.750 0.434
O 0.964 0.250 0.870